DFT (GGA+U) results for an optimized crystal structure of Ca2PdWO6.

## Properties
- total DFT energy (no corrections) (eV per atom) = -6.547
- symmetry = Imm2

```
Ca2PdWO6
1.0
-0.347 -5.779 -0.505
-1.301 -0.295 5.656
-3.159 3.128 -3.743
Ca O Pd W
2 6 1 1
Direct
0.170 0.747 0.424
0.677 0.253 0.424
0.821 0.257 0.078
0.821 0.743 0.564
0.277 0.224 0.501
0.804 0.762 0.042
0.277 0.776 0.052
0.280 0.238 0.042
0.517 0.500 0.017
0.027 0.000 0.027
```